Material: AcTbScPb
Method: DFT, PBE
State: relaxed

Fermi-level density of states = 6.666 states/eV per cell
Energy of formation from the pure elements = -0.031 eV/atom
Density = 8994 kg/m³
Total magnetic moment = 0.0 μB/cell
SG = F-43m (216)

```
AcTbScPb
1.0
0.0000 3.8909 3.8909
3.8909 0.0000 3.8909
3.8909 3.8909 0.0000
Ac Tb Sc Pb
1 1 1 1
Direct
0.0000 0.0000 0.0000
0.2500 0.2500 0.2500
0.7500 0.7500 0.7500
0.5000 0.5000 0.5000
```

=====

Material: AcScTlPb
Method: DFT, PBE
State: relaxed

Fermi-level density of states = 3.373 states/eV per cell
Energy of formation from the pure elements = -0.278 eV/atom
Density = 9392 kg/m³
Total magnetic moment = 0.0 μB/cell
SG = F-43m (216)

```
AcScTlPb
1.0
0.0000 3.9241 3.9241
3.9241 0.0000 3.9241
3.9241 3.9241 0.0000
Ac Sc Tl Pb
1 1 1 1
Direct
0.0000 0.0000 0.0000
0.5000 0.5000 0.5000
0.2500 0.2500 0.2500
0.7500 0.7500 0.7500
```

=====

Material: AcTmScPb
Method: DFT, PBE
State: relaxed

Fermi-level density of states = 7.126 states/eV per cell
Energy of formation from the pure elements = -0.004 eV/atom
Density = 9271 kg/m³
Total magnetic moment = 0.3 μB/cell
SG = F-43m (216)

```
AcTmScPb
1.0
0.0000 3.8718 3.8718
3.8718 0.0000 3.8718
3.8718 3.8718 0.0000
Ac Tm Sc Pb
1 1 1 1
Direct
0.0000 0.0000 0.0000
0.2500 0.2500 0.2500
0.7500 0.7500 0.7500
0.5000 0.5000 0.5000
```

=====

Material: AcYScPb
Method: DFT, PBE
State: relaxed

Fermi-level density of states = 7.144 states/eV per cell
Energy of formation from the pure elements = -0.034 eV/atom
Density = 7999 kg/m³
Total magnetic moment = 0.0 μB/cell
SG = F-43m (216)

```
AcYScPb
1.0
0.0000 3.8922 3.8922
3.8922 0.0000 3.8922
3.8922 3.8922 0.0000
Ac Y Sc Pb
1 1 1 1
Direct
0.0000 0.0000 0.0000
0.7500 0.7500 0.7500
0.2500 0.2500 0.2500
0.5000 0.5000 0.5000
```

=====

Material: Ac4Pb2Se
Method: DFT, PBE
State: relaxed

ΔE_f (raw) = -0.615 eV/atom
Fermi-level density of states = 4.281 states/eV per cell
Density = 7930 kg/m³
Total magnetic moment = 0.0 μB/cell
SG = I4/mmm (139)

```
Ac4Pb2Se
1.0
-2.8846 2.8846 8.8166
2.8846 -2.8846 8.8166
2.8846 2.8846 -8.8166
Ac Pb Se
4 2 1
Direct
0.0000 0.5000 0.5000
0.1782 0.1782 0.0000
0.5000 0.0000 0.5000
0.8218 0.8218 0.0000
0.3699 0.3699 0.0000
0.6301 0.6301 0.0000
0.0000 0.0000 0.0000
```

=====

Material: AcPbSe2
Method: DFT, PBE
State: relaxed

ΔE_f (raw) = -1.174 eV/atom
Fermi-level density of states = 1.468 states/eV per cell
Density = 7824 kg/m³
Total magnetic moment = 0.0 μB/cell
SG = Imm2 (44)

```
AcPbSe2
1.0
-2.2041 4.4804 3.1813
2.2041 -4.4804 3.1813
2.2041 4.4804 -3.1813
Ac Pb Se
1 1 2
Direct
0.0000 0.0000 0.0000
0.4774 0.9774 0.5000
0.0144 0.3034 0.7110
0.5923 0.3034 0.2890
```

=====

Material: Ac6PbSe5
Method: DFT, PBE
State: relaxed

ΔE_f (raw) = -1.654 eV/atom
Fermi-level density of states = 5.520 states/eV per cell
Density = 8177 kg/m³
Total magnetic moment = 0.0 μB/cell
SG = C2/m (12)

```
Ac6PbSe5
1.0
3.9310 -6.8102 0.0000
3.9310 6.8102 0.0000
-2.6234 0.0000 7.4489
Ac Pb Se
6 1 5
Direct
0.0737 0.4146 0.7435
0.2431 0.2431 0.2539
0.4146 0.0737 0.7435
0.5854 0.9263 0.2565
0.7569 0.7569 0.7461
0.9263 0.5854 0.2565
0.5000 0.5000 0.0000
0.0000 0.0000 0.5000
0.1677 0.8323 0.0000
0.3379 0.6621 0.5000
0.6621 0.3379 0.5000
0.8323 0.1677 0.0000
```

=====

Material: Ac3PbSe2
Method: DFT, PBE
State: relaxed

ΔE_f (raw) = -1.443 eV/atom
Fermi-level density of states = 2.548 states/eV per cell
Density = 8294 kg/m³
Total magnetic moment = 0.0 μB/cell
SG = Immm (71)

```
Ac3PbSe2
1.0
-2.3383 3.2681 6.8519
2.3383 -3.2681 6.8519
2.3383 3.2681 -6.8519
Ac Pb Se
3 1 2
Direct
0.0000 0.0000 0.0000
0.3270 0.3270 0.0000
0.6730 0.6730 0.0000
0.5000 0.0000 0.5000
0.1641 0.6641 0.5000
0.8359 0.3359 0.5000
```

=====

Material: Ac3PbSe
Method: DFT, PBE
State: relaxed

ΔE_f (raw) = -0.634 eV/atom
Fermi-level density of states = 5.225 states/eV per cell
Density = 7838 kg/m³
Total magnetic moment = 0.0 μB/cell
SG = Pm-3m (221)
Distance to the lowest polymorph of the same formula = 163 meV per atom

```
Ac3PbSe
1.0
5.8954 0.0000 0.0000
0.0000 5.8954 0.0000
0.0000 0.0000 5.8954
Ac Pb Se
3 1 1
Direct
0.0000 0.0000 0.5000
0.0000 0.5000 0.0000
0.5000 0.0000 0.0000
0.5000 0.5000 0.5000
0.0000 0.0000 0.0000
```

=====

Material: AcPb4Se5
Method: DFT, PBE
State: relaxed

ΔE_f (raw) = -0.835 eV/atom
Fermi-level density of states = 2.836 states/eV per cell
Density = 7738 kg/m³
Total magnetic moment = 0.0 μB/cell
SG = C2/m (12)

```
AcPb4Se5
1.0
7.1285 -2.3383 0.0000
7.1285 2.3383 0.0000
-4.8677 0.0000 9.3385
Ac Pb Se
1 4 5
Direct
0.0000 0.0000 0.0000
0.2054 0.2054 0.7900
0.4057 0.4057 0.5954
0.5943 0.5943 0.4046
0.7946 0.7946 0.2100
0.0000 0.0000 0.5000
0.1990 0.1990 0.2982
0.4019 0.4019 0.0983
0.5981 0.5981 0.9017
0.8010 0.8010 0.7018
```

=====

Material: Ac3PbSe
Method: DFT, PBE
State: relaxed

ΔE_f (raw) = -0.797 eV/atom
Fermi-level density of states = 22.476 states/eV per cell
Density = 8174 kg/m³
Total magnetic moment = 2.1 μB/cell
SG = P2_1/c (14)
Distance to the lowest polymorph of the same formula = 0 meV per atom

```
Ac3PbSe
1.0
10.2938 0.0000 0.0000
0.0000 7.2427 0.0000
-4.4137 0.0000 10.5409
Ac Pb Se
12 4 4
Direct
0.0493 0.0978 0.3296
0.0493 0.4022 0.8296
0.1977 0.5954 0.5355
0.1977 0.9046 0.0355
0.4035 0.1793 0.8200
0.4035 0.3207 0.3200
0.5965 0.6793 0.6800
0.5965 0.8207 0.1800
0.8023 0.0954 0.9645
0.8023 0.4046 0.4645
0.9507 0.5978 0.1704
0.9507 0.9022 0.6704
0.3558 0.6887 0.8537
0.3558 0.8113 0.3537
0.6442 0.1887 0.6463
0.6442 0.3113 0.1463
0.1017 0.2252 0.6029
0.1017 0.2748 0.1029
0.8983 0.7252 0.8971
0.8983 0.7748 0.3971
```

=====

Material: AcPbSe2
Method: DFT, PBE
State: relaxed

ΔE_f (raw) = -1.160 eV/atom
Fermi-level density of states = 2.203 states/eV per cell
Density = 7722 kg/m³
Total magnetic moment = 0.0 μB/cell
SG = R-3m (166)

```
AcPbSe2
1.0
2.3857 1.3774 6.4579
-2.3857 1.3774 6.4579
0.0000 -2.7548 6.4579
Ac Pb Se
1 1 2
Direct
0.0000 0.0000 0.0000
0.5000 0.5000 0.5000
0.2500 0.2500 0.2500
0.7500 0.7500 0.7500
```

=====

Material: Ac2PbSe
Method: DFT, PBE
State: relaxed

ΔE_f (raw) = -1.062 eV/atom
Fermi-level density of states = 2.602 states/eV per cell
Density = 9646 kg/m³
Total magnetic moment = 0.0 μB/cell
SG = P4/mmm (123)
Distance to the lowest polymorph of the same formula = 158 meV per atom

```
Ac2PbSe
1.0
3.8444 0.0000 0.0000
0.0000 3.8444 0.0000
0.0000 0.0000 8.6208
Ac Pb Se
2 1 1
Direct
0.0000 0.0000 0.2292
0.0000 0.0000 0.7708
0.5000 0.5000 0.5000
0.5000 0.5000 0.0000
```

=====

Material: AcPb5Se6
Method: DFT, PBE
State: relaxed

ΔE_f (raw) = -0.797 eV/atom
Fermi-level density of states = 3.620 states/eV per cell
Density = 7777 kg/m³
Total magnetic moment = 0.0 μB/cell
SG = C2/m (12)

```
AcPb5Se6
1.0
3.7982 -6.6500 0.0000
3.7982 6.6500 0.0000
-2.5794 0.0000 7.3405
Ac Pb Se
1 5 6
Direct
0.0000 0.0000 0.0000
0.1641 0.8359 0.5000
0.3309 0.6691 0.0000
0.5000 0.5000 0.5000
0.6691 0.3309 0.0000
0.8359 0.1641 0.5000
0.0829 0.4140 0.2488
0.2479 0.2479 0.7497
0.4140 0.0829 0.2488
0.5860 0.9171 0.7512
0.7521 0.7521 0.2503
0.9171 0.5860 0.7512
```

=====

Material: Ac2PbSe
Method: DFT, PBE
State: relaxed

ΔE_f (raw) = -1.220 eV/atom
Fermi-level density of states = 2.348 states/eV per cell
Density = 8404 kg/m³
Total magnetic moment = 0.0 μB/cell
SG = I4_1/amd (141)
Distance to the lowest polymorph of the same formula = 0 meV per atom

```
Ac2PbSe
1.0
-3.3195 3.3195 6.6359
3.3195 -3.3195 6.6359
3.3195 3.3195 -6.6359
Ac Pb Se
4 2 2
Direct
0.1199 0.3699 0.7500
0.3699 0.1199 0.2500
0.6301 0.8801 0.7500
0.8801 0.6301 0.2500
0.3750 0.6250 0.7500
0.6250 0.3750 0.2500
0.1250 0.8750 0.2500
0.8750 0.1250 0.7500
```

=====

Material: Ac5PbSe4
Method: DFT, PBE
State: relaxed

ΔE_f (raw) = -1.611 eV/atom
Fermi-level density of states = 5.355 states/eV per cell
Density = 8205 kg/m³
Total magnetic moment = 0.0 μB/cell
SG = P-1 (2)

```
Ac5PbSe4
1.0
6.4530 0.0000 0.0000
3.2077 7.2069 0.0000
3.2167 -0.0075 7.2151
Ac Pb Se
5 1 4
Direct
0.0000 0.0000 0.0000
0.1924 0.2061 0.4093
0.3977 0.4094 0.7939
0.6023 0.5906 0.2061
0.8076 0.7939 0.5907
0.5000 0.0000 0.0000
0.1050 0.5963 0.1948
0.2990 0.8053 0.5962
0.7010 0.1947 0.4038
0.8950 0.4037 0.8052
```

=====

Material: Ac2PbSe
Method: DFT, PBE
State: relaxed

ΔE_f (raw) = -1.184 eV/atom
Fermi-level density of states = 1.987 states/eV per cell
Density = 8393 kg/m³
Total magnetic moment = 0.0 μB/cell
SG = R-3m (166)
Distance to the lowest polymorph of the same formula = 35 meV per atom

```
Ac2PbSe
1.0
2.3662 1.3661 7.5505
-2.3662 1.3661 7.5505
0.0000 -2.7323 7.5505
Ac Pb Se
2 1 1
Direct
0.2476 0.2476 0.2476
0.7524 0.7524 0.7524
0.0000 0.0000 0.0000
0.5000 0.5000 0.5000
```

=====

Material: AcPb2Se4
Method: DFT, PBE
State: relaxed

ΔE_f (raw) = -0.961 eV/atom
Fermi-level density of states = 4.259 states/eV per cell
Density = 7359 kg/m³
Total magnetic moment = 0.0 μB/cell
SG = Cmcm (63)

```
AcPb2Se4
1.0
2.2028 -7.1239 0.0000
2.2028 7.1239 0.0000
0.0000 0.0000 13.7644
Ac Pb Se
2 4 8
Direct
0.0953 0.9047 0.7500
0.9047 0.0953 0.2500
0.3651 0.6349 0.5576
0.3651 0.6349 0.9424
0.6349 0.3651 0.0576
0.6349 0.3651 0.4424
0.0000 0.0000 0.0000
0.0000 0.0000 0.5000
0.2812 0.7188 0.1384
0.2812 0.7188 0.3616
0.4428 0.5572 0.7500
0.5572 0.4428 0.2500
0.7188 0.2812 0.6384
0.7188 0.2812 0.8616
```

=====

Material: Ac12Pb3Se5
Method: DFT, PBE
State: relaxed

ΔE_f (raw) = -0.789 eV/atom
Fermi-level density of states = 92.899 states/eV per cell
Density = 7359 kg/m³
Total magnetic moment = 0.1 μB/cell
SG = Ia-3d (230)

```
Ac12Pb3Se5
1.0
-9.4503 9.4503 9.4503
9.4503 -9.4503 9.4503
9.4503 9.4503 -9.4503
Ac Pb Se
48 12 20
Direct
0.0385 0.2149 0.1203
0.0385 0.3237 0.9182
0.0818 0.6203 0.4055
0.0818 0.9615 0.6763
0.0945 0.7149 0.6763
0.0945 0.8797 0.4182
0.1203 0.0385 0.2149
0.1203 0.5818 0.9055
0.1763 0.2149 0.5945
0.1763 0.4615 0.5818
0.2149 0.1203 0.0385
0.2149 0.5945 0.1763
0.2851 0.3237 0.9055
0.2851 0.4615 0.3797
0.3237 0.9055 0.2851
0.3237 0.9182 0.0385
0.3797 0.2851 0.4615
0.3797 0.5945 0.9182
0.4055 0.0818 0.6203
0.4055 0.8237 0.7851
0.4182 0.0945 0.8797
0.4182 0.8237 0.5385
0.4615 0.3797 0.2851
0.4615 0.5818 0.1763
0.5385 0.4182 0.8237
0.5385 0.6203 0.7149
0.5818 0.1763 0.4615
0.5818 0.9055 0.1203
0.5945 0.1763 0.2149
0.5945 0.9182 0.3797
0.6203 0.4055 0.0818
0.6203 0.7149 0.5385
0.6763 0.0818 0.9615
0.6763 0.0945 0.7149
0.7149 0.5385 0.6203
0.7149 0.6763 0.0945
0.7851 0.4055 0.8237
0.7851 0.8797 0.9615
0.8237 0.5385 0.4182
0.8237 0.7851 0.4055
0.8797 0.4182 0.0945
0.8797 0.9615 0.7851
0.9055 0.1203 0.5818
0.9055 0.2851 0.3237
0.9182 0.0385 0.3237
0.9182 0.3797 0.5945
0.9615 0.6763 0.0818
0.9615 0.7851 0.8797
0.1250 0.2500 0.3750
0.1250 0.3750 0.7500
0.2500 0.3750 0.1250
0.2500 0.8750 0.6250
0.3750 0.1250 0.2500
0.3750 0.7500 0.1250
0.6250 0.2500 0.8750
0.6250 0.8750 0.7500
0.7500 0.1250 0.3750
0.7500 0.6250 0.8750
0.8750 0.6250 0.2500
0.8750 0.7500 0.6250
0.0000 0.0000 0.0000
0.0000 0.0000 0.5000
0.0000 0.5000 0.0000
0.0000 0.5000 0.5000
0.1250 0.7500 0.8750
0.1250 0.8750 0.2500
0.2500 0.1250 0.8750
0.2500 0.6250 0.3750
0.3750 0.2500 0.6250
0.3750 0.6250 0.7500
0.5000 0.0000 0.0000
0.5000 0.0000 0.5000
0.5000 0.5000 0.0000
0.5000 0.5000 0.5000
0.6250 0.3750 0.2500
0.6250 0.7500 0.3750
0.7500 0.3750 0.6250
0.7500 0.8750 0.1250
0.8750 0.1250 0.7500
0.8750 0.2500 0.1250
```

=====

Material: Ac7PbSe5
Method: DFT, PBE
State: relaxed

ΔE_f (raw) = -1.517 eV/atom
Fermi-level density of states = 19.476 states/eV per cell
Density = 8182 kg/m³
Total magnetic moment = 0.0 μB/cell
SG = Cmc2_1 (36)

```
Ac7PbSe5
1.0
2.2856 -7.2610 0.0000
2.2856 7.2610 0.0000
0.0000 0.0000 26.7933
Ac Pb Se
14 2 10
Direct
0.0278 0.9722 0.5000
0.1357 0.8643 0.2141
0.1363 0.8637 0.7861
0.3171 0.6829 0.4265
0.3176 0.6824 0.5737
0.4041 0.5959 0.1391
0.4047 0.5953 0.8611
0.5953 0.4047 0.3611
0.5959 0.4041 0.6391
0.6824 0.3176 0.0737
0.6829 0.3171 0.9265
0.8637 0.1363 0.2861
0.8643 0.1357 0.7141
0.9722 0.0278 0.0000
0.2993 0.7007 0.0002
0.7007 0.2993 0.5002
0.0435 0.9565 0.1098
0.0440 0.9560 0.8903
0.2279 0.7721 0.3198
0.2285 0.7715 0.6804
0.4997 0.5003 0.2501
0.5003 0.4997 0.7501
0.7715 0.2285 0.1804
0.7721 0.2279 0.8198
0.9560 0.0440 0.3903
0.9565 0.0435 0.6098
```